VASP calculation (PBE with a Hubbard U) on a geometry-optimized MnZn3F structure.

Calculated values
Excess energy over the best structure of this formula in the dataset ... 0.0000 eV per atom
Raw total energy ... -13.357 eV per cell
M_tot ... 4.41 μB/cell

Cell and atoms, written as extended XYZ:
```
5
Lattice="-1.042 2.805 -3.261 -4.098 -1.666 -0.123 -1.305 2.991 2.990" Properties=species:S:1:pos:R:3 pbc="T T T"
Zn -2.049 -0.833 -0.061
Zn -0.653 1.495 1.495
Zn -0.521 1.402 -1.630
Mn -3.223 2.065 -0.197
F 0.000 0.000 0.000
```